## 1
# NaTbZnSe3

A relaxed structure of NaTbZnSe3 (PBE-GGA, OQMD via LeMat-Bulk).

```
data_NaTbZnSe3
_cell_length_a 13.9827
_cell_length_b 4.0730
_cell_length_c 11.1612
_cell_angle_alpha 90.00
_cell_angle_beta 90.00
_cell_angle_gamma 90.00
_space_group_name_H-M_alt 'P 1'
_space_group_IT_number 1
_space_group_name_Hall 'P 1'
loop_
_atom_site_label
_atom_site_type_symbol
_atom_site_fract_x
_atom_site_fract_y
_atom_site_fract_z
Na1 Na 0.2357 0.2500 0.0668
Na2 Na 0.2643 0.7500 0.5668
Na3 Na 0.7357 0.2500 0.4332
Na4 Na 0.7643 0.7500 0.9332
Tb1 Tb 0.0192 0.2500 0.3434
Tb2 Tb 0.4808 0.7500 0.8434
Tb3 Tb 0.5192 0.2500 0.1566
Tb4 Tb 0.9808 0.7500 0.6566
Zn1 Zn 0.0118 0.7500 0.0954
Zn2 Zn 0.4882 0.2500 0.5954
Zn3 Zn 0.5118 0.7500 0.4046
Zn4 Zn 0.9882 0.2500 0.9046
Se1 Se 0.0952 0.7500 0.8899
Se2 Se 0.1084 0.2500 0.5714
Se3 Se 0.1404 0.7500 0.2432
Se4 Se 0.3596 0.2500 0.7432
Se5 Se 0.3916 0.7500 0.0714
Se6 Se 0.4048 0.2500 0.3899
Se7 Se 0.5952 0.7500 0.6101
Se8 Se 0.6084 0.2500 0.9286
Se9 Se 0.6404 0.7500 0.2568
Se10 Se 0.8596 0.2500 0.7568
Se11 Se 0.8916 0.7500 0.4286
Se12 Se 0.9048 0.2500 0.1101
```

Size of the total moment: 0.0 μB/cell
Calculated volume: 26.5 Å³/atom
Space-group type: Pnma



## 2
# NaTbZnSe3

A relaxed structure of NaTbZnSe3 (PBE-GGA, OQMD via LeMat-Bulk).

```
data_NaTbZnSe3
_cell_length_a 11.5880
_cell_length_b 4.1339
_cell_length_c 12.1888
_cell_angle_alpha 90.00
_cell_angle_beta 90.00
_cell_angle_gamma 90.00
_space_group_name_H-M_alt 'P 1'
_space_group_IT_number 1
_space_group_name_Hall 'P 1'
loop_
_atom_site_label
_atom_site_type_symbol
_atom_site_fract_x
_atom_site_fract_y
_atom_site_fract_z
Na1 Na 0.1629 0.2500 0.0004
Na2 Na 0.3371 0.7500 0.5004
Na3 Na 0.6629 0.2500 0.4996
Na4 Na 0.8371 0.7500 0.9996
Tb1 Tb 0.0253 0.2500 0.3187
Tb2 Tb 0.4747 0.7500 0.8187
Tb3 Tb 0.5253 0.2500 0.1813
Tb4 Tb 0.9747 0.7500 0.6813
Zn1 Zn 0.2479 0.2500 0.7086
Zn2 Zn 0.2521 0.7500 0.2086
Zn3 Zn 0.7479 0.2500 0.7914
Zn4 Zn 0.7521 0.7500 0.2914
Se1 Se 0.0507 0.7500 0.1512
Se2 Se 0.0999 0.2500 0.5660
Se3 Se 0.2190 0.7500 0.8220
Se4 Se 0.2810 0.2500 0.3220
Se5 Se 0.4001 0.7500 0.0660
Se6 Se 0.4493 0.2500 0.6512
Se7 Se 0.5507 0.7500 0.3488
Se8 Se 0.5999 0.2500 0.9340
Se9 Se 0.7190 0.7500 0.6780
Se10 Se 0.7810 0.2500 0.1780
Se11 Se 0.9001 0.7500 0.4340
Se12 Se 0.9493 0.2500 0.8488
```

Size of the total moment: 0.0 μB/cell
Calculated volume: 24.3 Å³/atom
Space-group type: Pnma



Most stable structure - 1; separation to the second - 21 meV/atom.



## 1
# NaZrTlSe3

A relaxed structure of NaZrTlSe3 (PBE-GGA, OQMD via LeMat-Bulk).

```
data_NaZrTlSe3
_cell_length_a 14.3878
_cell_length_b 3.9859
_cell_length_c 11.8654
_cell_angle_alpha 90.00
_cell_angle_beta 90.00
_cell_angle_gamma 90.00
_space_group_name_H-M_alt 'P 1'
_space_group_IT_number 1
_space_group_name_Hall 'P 1'
loop_
_atom_site_label
_atom_site_type_symbol
_atom_site_fract_x
_atom_site_fract_y
_atom_site_fract_z
Na1 Na 0.0518 0.2500 0.0862
Na2 Na 0.4482 0.7500 0.5862
Na3 Na 0.5518 0.2500 0.4138
Na4 Na 0.9482 0.7500 0.9138
Zr1 Zr 0.0105 0.7500 0.3499
Zr2 Zr 0.4895 0.2500 0.8499
Zr3 Zr 0.5105 0.7500 0.1501
Zr4 Zr 0.9895 0.2500 0.6501
Tl1 Tl 0.2262 0.7500 0.9723
Tl2 Tl 0.2738 0.2500 0.4723
Tl3 Tl 0.7262 0.7500 0.5277
Tl4 Tl 0.7738 0.2500 0.0277
Se1 Se 0.0797 0.2500 0.8428
Se2 Se 0.0992 0.7500 0.5621
Se3 Se 0.1331 0.2500 0.2949
Se4 Se 0.3669 0.7500 0.7949
Se5 Se 0.4008 0.2500 0.0621
Se6 Se 0.4203 0.7500 0.3428
Se7 Se 0.5797 0.2500 0.6572
Se8 Se 0.5992 0.7500 0.9379
Se9 Se 0.6331 0.2500 0.2051
Se10 Se 0.8669 0.7500 0.7051
Se11 Se 0.9008 0.2500 0.4379
Se12 Se 0.9203 0.7500 0.1572
```

Size of the total moment: 0.0 μB/cell
Calculated volume: 28.4 Å³/atom
Space-group type: Pnma



## 2
# NaZrTlSe3

A relaxed structure of NaZrTlSe3 (PBE-GGA, OQMD via LeMat-Bulk).

```
data_NaZrTlSe3
_cell_length_a 8.0554
_cell_length_b 3.9822
_cell_length_c 10.6613
_cell_angle_alpha 90.00
_cell_angle_beta 104.27
_cell_angle_gamma 90.00
_space_group_name_H-M_alt 'P 1'
_space_group_IT_number 1
_space_group_name_Hall 'P 1'
loop_
_atom_site_label
_atom_site_type_symbol
_atom_site_fract_x
_atom_site_fract_y
_atom_site_fract_z
Na1 Na 0.0233 0.2500 0.1168
Na2 Na 0.9767 0.7500 0.8832
Zr1 Zr 0.3079 0.7500 0.3570
Zr2 Zr 0.6921 0.2500 0.6430
Tl1 Tl 0.3274 0.2500 0.8202
Tl2 Tl 0.6726 0.7500 0.1798
Se1 Se 0.1005 0.2500 0.3834
Se2 Se 0.2733 0.7500 0.1015
Se3 Se 0.4383 0.7500 0.6244
Se4 Se 0.5617 0.2500 0.3756
Se5 Se 0.7267 0.2500 0.8985
Se6 Se 0.8995 0.7500 0.6166
```

Size of the total moment: 0.0 μB/cell
Calculated volume: 27.6 Å³/atom
Space-group type: P2_1/m



## 3
# NaZrTlSe3

A relaxed structure of NaZrTlSe3 (PBE-GGA, OQMD via LeMat-Bulk).

```
data_NaZrTlSe3
_cell_length_a 7.6730
_cell_length_b 7.6730
_cell_length_c 11.3887
_cell_angle_alpha 90.00
_cell_angle_beta 90.00
_cell_angle_gamma 150.61
_space_group_name_H-M_alt 'P 1'
_space_group_IT_number 1
_space_group_name_Hall 'P 1'
loop_
_atom_site_label
_atom_site_type_symbol
_atom_site_fract_x
_atom_site_fract_y
_atom_site_fract_z
Na1 Na 0.1140 0.8860 0.7500
Na2 Na 0.8860 0.1140 0.2500
Zr1 Zr 0.5000 0.5000 0.0000
Zr2 Zr 0.5000 0.5000 0.5000
Tl1 Tl 0.1843 0.8157 0.2500
Tl2 Tl 0.8157 0.1843 0.7500
Se1 Se 0.1267 0.8733 0.5119
Se2 Se 0.1267 0.8733 0.9881
Se3 Se 0.4711 0.5289 0.7500
Se4 Se 0.5289 0.4711 0.2500
Se5 Se 0.8733 0.1267 0.0119
Se6 Se 0.8733 0.1267 0.4881
```

Size of the total moment: 0.0 μB/cell
Calculated volume: 27.4 Å³/atom
Space-group type: Cmcm



Most stable structure - 1; separation to the second - 12 meV/atom.



## 1
# NaYTmSe3

A relaxed structure of NaYTmSe3 (PBE-GGA, OQMD via LeMat-Bulk).

```
data_NaYTmSe3
_cell_length_a 7.4332
_cell_length_b 7.4332
_cell_length_c 11.2900
_cell_angle_alpha 90.00
_cell_angle_beta 90.00
_cell_angle_gamma 146.83
_space_group_name_H-M_alt 'P 1'
_space_group_IT_number 1
_space_group_name_Hall 'P 1'
loop_
_atom_site_label
_atom_site_type_symbol
_atom_site_fract_x
_atom_site_fract_y
_atom_site_fract_z
Na1 Na 0.2335 0.7665 0.7500
Na2 Na 0.7665 0.2335 0.2500
Y1 Y 0.0410 0.9590 0.2500
Y2 Y 0.9590 0.0410 0.7500
Tm1 Tm 0.5000 0.5000 0.0000
Tm2 Tm 0.5000 0.5000 0.5000
Se1 Se 0.1341 0.8659 0.0424
Se2 Se 0.1341 0.8659 0.4576
Se3 Se 0.4192 0.5808 0.2500
Se4 Se 0.5808 0.4192 0.7500
Se5 Se 0.8659 0.1341 0.5424
Se6 Se 0.8659 0.1341 0.9576
```

Size of the total moment: 1.3 μB/cell
Calculated volume: 28.4 Å³/atom
Space-group type: Cmcm



## 2
# NaYTmSe3

A relaxed structure of NaYTmSe3 (PBE-GGA, OQMD via LeMat-Bulk).

```
data_NaYTmSe3
_cell_length_a 7.3734
_cell_length_b 7.3734
_cell_length_c 11.3518
_cell_angle_alpha 90.00
_cell_angle_beta 90.00
_cell_angle_gamma 146.43
_space_group_name_H-M_alt 'P 1'
_space_group_IT_number 1
_space_group_name_Hall 'P 1'
loop_
_atom_site_label
_atom_site_type_symbol
_atom_site_fract_x
_atom_site_fract_y
_atom_site_fract_z
Na1 Na 0.2403 0.7597 0.7500
Na2 Na 0.7597 0.2403 0.2500
Y1 Y 0.5000 0.5000 0.0000
Y2 Y 0.5000 0.5000 0.5000
Tm1 Tm 0.0353 0.9647 0.2500
Tm2 Tm 0.9647 0.0353 0.7500
Se1 Se 0.1374 0.8626 0.0542
Se2 Se 0.1374 0.8626 0.4458
Se3 Se 0.4182 0.5818 0.2500
Se4 Se 0.5818 0.4182 0.7500
Se5 Se 0.8626 0.1374 0.5542
Se6 Se 0.8626 0.1374 0.9458
```

Size of the total moment: 0.0 μB/cell
Calculated volume: 28.4 Å³/atom
Space-group type: Cmcm



Most stable structure - 2; separation to the second - 33 meV/atom.